A relaxed FeBPd2Rh crystal, computed with PBE.

Summary:
The value obtained for the density is 9377 kg/m³. For the formation energy, the calculation gives 0.185 eV per atom.

abc: 4.097 4.034 4.097
angles: 90.00 90.00 90.00
Fractional coordinates of all 5 atoms:
B  0.000  0.000  0.000
Rh  0.500  0.500  0.500
Fe  0.000  0.500  0.000
Pd  0.500  0.000  0.000
Pd  0.000  0.000  0.500